[1]
## HfPa2Ni2S6 (PBE-GGA)

Data for a relaxed HfPa2Ni2S6 crystal.

The space group is P-3 (No. 147) and the conventional cell measures 6.8271, 6.8271 and 5.4010 Å, with angles of 90.00, 90.00 and 120.00 degrees. The asymmetric unit holds Hf at (0.0000, 0.0000, 0.0000), Pa at (0.3333, 0.6667, 0.3387), Ni at (0.3333, 0.6667, 0.8896) and S at (0.0684, 0.7275, 0.7336).

Its uncorrected formation energy is -100 kJ/mol of atoms.


[2]
## Rb4TbPm3Te8 (PBE-GGA)

Data for a relaxed Rb4TbPm3Te8 crystal.

The space group is R-3m (No. 166, hexagonal axes) and the conventional cell measures 9.2063, 9.2063 and 25.7035 Å, with angles of 90.00, 90.00 and 120.00 degrees. The asymmetric unit holds Rb at (0.0000, 0.0000, 0.0000), Rb at (0.0000, 0.5000, 0.0000), Tb at (0.0000, 0.0000, 0.5000), Pm at (0.0000, 0.5000, 0.5000), Te at (0.0000, 0.0000, 0.2348) and Te at (0.0044, 0.5022, 0.2341).

Its uncorrected formation energy is -135 kJ/mol of atoms.


[3]
## Be2GeSe (PBE-GGA)

Data for a relaxed Be2GeSe crystal.

The space group is Fm-3m (No. 225) and the conventional cell measures 6.139, 6.139 and 6.139 Å, with angles of 90.00, 90.00 and 90.00 degrees. The asymmetric unit holds Be at (0.250, 0.250, 0.250), Ge at (0.000, 0.000, 0.000) and Se at (0.000, 0.000, 0.500).

The polymorph energy (0 for the lowest one) is 2.48 eV per formula unit. Its uncorrected formation energy is 64 kJ/mol of atoms.


Summary of raw total energy in hartree per atom
-0.256; -0.162; -0.119
(order as listed above)